(1)
# YErOsO6, optimized geometry, DFT PBE
data_YErOsO6
_chemical_formula_sum 'Y2 Er2 Os2 O12'
_cell_length_a 5.4571
_cell_length_b 5.4571
_cell_length_c 9.5575
_cell_angle_alpha 90.00
_cell_angle_beta 90.00
_cell_angle_gamma 120.00
_space_group_name_H-M_alt 'P -3 1 c'
_space_group_IT_number 163
_space_group_name_Hall '-P 3 2c'
loop_
_atom_site_label
_atom_site_fract_x
_atom_site_fract_y
_atom_site_fract_z
_atom_site_occupancy
Y1 0.0000 0.0000 0.0000 1
Er1 0.3333 0.6667 0.2500 1
Os1 0.3333 0.6667 0.7500 1
O1 0.0404 0.3695 0.6353 1
# Formation energy from raw total energies = -2.383 eV/atom
# Crystal system = trigonal
# Mass density = 7.31 Mg/m³
# DFT total energy = -8.162 eV per atom

=====

(2)
# Er2PO6, optimized geometry, DFT PBE
data_Er2PO6
_chemical_formula_sum 'Er4 P2 O12'
_cell_length_a 4.766
_cell_length_b 4.766
_cell_length_c 9.514
_cell_angle_alpha 90.00
_cell_angle_beta 90.00
_cell_angle_gamma 90.00
_space_group_name_H-M_alt 'P 42/m n m'
_space_group_IT_number 136
_space_group_name_Hall '-P 4n 2n'
loop_
_atom_site_label
_atom_site_fract_x
_atom_site_fract_y
_atom_site_fract_z
_atom_site_occupancy
Er1 0.000 0.000 0.168 1
P1 0.000 0.000 0.500 1
O1 0.176 0.176 0.368 1
O2 0.245 0.245 0.000 1
# Formation energy from raw total energies = -2.628 eV/atom
# Crystal system = tetragonal
# Mass density = 7.09 Mg/m³
# DFT total energy = -7.548 eV per atom

=====

(3)
# ErP5O14, optimized geometry, DFT PBE
data_ErP5O14
_chemical_formula_sum 'Er8 P40 O112'
_cell_length_a 13.027
_cell_length_b 12.932
_cell_length_c 12.554
_cell_angle_alpha 90.00
_cell_angle_beta 91.54
_cell_angle_gamma 90.00
_space_group_name_H-M_alt 'C 1 2/c 1'
_space_group_IT_number 15
loop_
_space_group_symop_operation_xyz
'x,y,z'
'-x,-y,-z'
'-x,y,-z+1/2'
'x,-y,z+1/2'
'x+1/2,y+1/2,z'
'-x+1/2,-y+1/2,-z'
'-x+1/2,y+1/2,-z+1/2'
'x+1/2,-y+1/2,z+1/2'
loop_
_atom_site_label
_atom_site_fract_x
_atom_site_fract_y
_atom_site_fract_z
_atom_site_occupancy
Er1 0.000 0.020 0.250 1
Er2 0.000 0.466 0.250 1
P1 0.023 0.351 0.534 1
P2 0.146 0.030 0.001 1
P3 0.148 0.170 0.607 1
P4 0.176 0.247 0.258 1
P5 0.183 0.367 0.890 1
O1 0.025 0.396 0.426 1
O2 0.058 0.409 0.632 1
O3 0.078 0.063 0.090 1
O4 0.084 0.241 0.528 1
O5 0.091 0.128 0.697 1
O6 0.093 0.305 0.944 1
O7 0.111 0.034 0.888 1
O8 0.114 0.154 0.283 1
O9 0.128 0.348 0.231 1
O10 0.152 0.452 0.818 1
O11 0.193 0.086 0.529 1
O12 0.243 0.240 0.640 1
O13 0.245 0.276 0.839 1
O14 0.249 0.403 0.992 1
# Formation energy from raw total energies = -2.342 eV/atom
# Energy above the lowest structure with this stoichiometry = 0 meV per atom
# Crystal system = monoclinic
# Mass density = 3.43 Mg/m³
# DFT total energy = -7.394 eV per atom

=====

(4)
# Er2PO, optimized geometry, DFT PBE
data_Er2PO
_chemical_formula_sum 'Er6 P3 O3'
_cell_length_a 3.6982
_cell_length_b 3.6982
_cell_length_c 17.8220
_cell_angle_alpha 90.00
_cell_angle_beta 90.00
_cell_angle_gamma 120.00
_space_group_name_H-M_alt 'R -3 m'
_space_group_IT_number 166
_space_group_name_Hall '-R 3 2"'
loop_
_atom_site_label
_atom_site_fract_x
_atom_site_fract_y
_atom_site_fract_z
_atom_site_occupancy
Er1 0.0000 0.0000 0.2416 1
P1 0.0000 0.0000 0.0000 1
O1 0.0000 0.0000 0.5000 1
# Formation energy from raw total energies = -2.127 eV/atom
# Energy above the lowest structure with this stoichiometry = 0 meV per atom
# Crystal system = trigonal
# Mass density = 9.00 Mg/m³
# DFT total energy = -7.000 eV per atom

=====

(5)
# ErP2O6, optimized geometry, DFT PBE
data_ErP2O6
_chemical_formula_sum 'Er4 P8 O24'
_cell_length_a 10.161
_cell_length_b 9.227
_cell_length_c 5.965
_cell_angle_alpha 90.00
_cell_angle_beta 111.48
_cell_angle_gamma 90.00
_space_group_name_H-M_alt 'C 1 2/c 1'
_space_group_IT_number 15
loop_
_space_group_symop_operation_xyz
'x,y,z'
'-x,-y,-z'
'-x,y,-z+1/2'
'x,-y,z+1/2'
'x+1/2,y+1/2,z'
'-x+1/2,-y+1/2,-z'
'-x+1/2,y+1/2,-z+1/2'
'x+1/2,-y+1/2,z+1/2'
loop_
_atom_site_label
_atom_site_fract_x
_atom_site_fract_y
_atom_site_fract_z
_atom_site_occupancy
Er1 0.000 0.119 0.250 1
P1 0.200 0.434 0.253 1
O1 0.132 0.056 0.637 1
O2 0.150 0.494 0.482 1
O3 0.151 0.276 0.219 1
# Formation energy from raw total energies = -2.367 eV/atom
# Crystal system = monoclinic
# Mass density = 4.15 Mg/m³
# DFT total energy = -7.382 eV per atom

=====

(6)
# ErP5O14, optimized geometry, DFT PBE
data_ErP5O14
_chemical_formula_sum 'Er4 P20 O56'
_cell_length_a 8.794
_cell_length_b 12.755
_cell_length_c 9.158
_cell_angle_alpha 90.00
_cell_angle_beta 90.00
_cell_angle_gamma 90.00
_space_group_name_H-M_alt 'P n m a'
_space_group_IT_number 62
loop_
_space_group_symop_operation_xyz
'x,y,z'
'-x,-y,-z'
'-x+1/2,-y,z+1/2'
'x+1/2,y,-z+1/2'
'x+1/2,-y+1/2,-z+1/2'
'-x+1/2,y+1/2,z+1/2'
'-x,y+1/2,-z'
'x,-y+1/2,z'
loop_
_atom_site_label
_atom_site_fract_x
_atom_site_fract_y
_atom_site_fract_z
_atom_site_occupancy
Er1 0.021 0.250 0.054 1
P1 0.009 0.581 0.295 1
P2 0.073 0.750 0.503 1
P3 0.243 0.572 0.772 1
O1 0.009 0.634 0.151 1
O2 0.024 0.153 0.570 1
O3 0.039 0.750 0.661 1
O4 0.115 0.506 0.681 1
O5 0.158 0.122 0.161 1
O6 0.163 0.526 0.343 1
O7 0.171 0.631 0.894 1
O8 0.231 0.750 0.440 1
# Formation energy from raw total energies = -2.333 eV/atom
# Energy above the lowest structure with this stoichiometry = 10 meV per atom
# Crystal system = orthorhombic
# Mass density = 3.53 Mg/m³
# DFT total energy = -7.384 eV per atom

=====

(7)
# ErP2O2, optimized geometry, DFT PBE
data_ErP2O2
_chemical_formula_sum 'Er8 P16 O16'
_cell_length_a 10.456
_cell_length_b 10.456
_cell_length_c 13.185
_cell_angle_alpha 90.00
_cell_angle_beta 90.00
_cell_angle_gamma 90.00
_space_group_name_H-M_alt 'I 41/a m d'
_space_group_IT_number 141
loop_
_space_group_symop_operation_xyz
'x,y,z'
'-x,-y,-z'
'-y+1/4,x+3/4,z+1/4'
'y+1/4,-x+3/4,-z+1/4'
'-x+1/2,-y,z+1/2'
'x+1/2,y,-z+1/2'
'y+1/4,-x+1/4,z+3/4'
'-y+1/4,x+1/4,-z+3/4'
'x,-y,-z'
'-x,y,z'
'-y+1/4,-x+1/4,-z+3/4'
'y+1/4,x+1/4,z+3/4'
'-x+1/2,y,-z+1/2'
'x+1/2,-y,z+1/2'
'y+1/4,x+3/4,-z+1/4'
'-y+1/4,-x+3/4,z+1/4'
'x+1/2,y+1/2,z+1/2'
'-x+1/2,-y+1/2,-z+1/2'
'-y+3/4,x+1/4,z+3/4'
'y+3/4,-x+1/4,-z+3/4'
'-x,-y+1/2,z'
'x,y+1/2,-z'
'y+3/4,-x+3/4,z+1/4'
'-y+3/4,x+3/4,-z+1/4'
'x+1/2,-y+1/2,-z+1/2'
'-x+1/2,y+1/2,z+1/2'
'-y+3/4,-x+3/4,-z+1/4'
'y+3/4,x+3/4,z+1/4'
'-x,y+1/2,-z'
'x,-y+1/2,z'
'y+3/4,x+1/4,-z+3/4'
'-y+3/4,-x+1/4,z+3/4'
loop_
_atom_site_label
_atom_site_fract_x
_atom_site_fract_y
_atom_site_fract_z
_atom_site_occupancy
Er1 0.000 0.000 0.000 1
P1 0.000 0.141 0.744 1
O1 0.000 0.053 0.843 1
# Formation energy from raw total energies = -1.351 eV/atom
# Crystal system = tetragonal
# Mass density = 2.41 Mg/m³
# DFT total energy = -6.411 eV per atom

=====

(8)
# ErP3O6, optimized geometry, DFT PBE
data_ErP3O6
_chemical_formula_sum 'Er4 P12 O24'
_cell_length_a 15.761
_cell_length_b 5.711
_cell_length_c 12.276
_cell_angle_alpha 90.00
_cell_angle_beta 118.89
_cell_angle_gamma 90.00
_space_group_name_H-M_alt 'C 1 2/m 1'
_space_group_IT_number 12
loop_
_space_group_symop_operation_xyz
'x,y,z'
'-x,-y,-z'
'-x,y,-z'
'x,-y,z'
'x+1/2,y+1/2,z'
'-x+1/2,-y+1/2,-z'
'-x+1/2,y+1/2,-z'
'x+1/2,-y+1/2,z'
loop_
_atom_site_label
_atom_site_fract_x
_atom_site_fract_y
_atom_site_fract_z
_atom_site_occupancy
Er1 0.000 0.000 0.000 1
Er2 0.000 0.000 0.500 1
P1 0.134 0.500 0.210 1
P2 0.154 0.000 0.846 1
P3 0.158 0.500 0.514 1
O1 0.078 0.000 0.709 1
O2 0.086 0.278 0.138 1
O3 0.101 0.278 0.503 1
O4 0.109 0.000 0.932 1
# Formation energy from raw total energies = -2.128 eV/atom
# Crystal system = monoclinic
# Mass density = 2.45 Mg/m³
# DFT total energy = -7.183 eV per atom